1.
Computed, not measured: a relaxed Ce4GaSn3 crystal at the PBE level of DFT.

a = 4.3343 Å, b = 4.6279 Å, c = 11.6196 Å
α = 90.00°, β = 90.00°, γ = 90.00°
Last column: nearest neighbours and their distance in Å.
Element x y z (fractional)
Ce1 0.0000 0.0000 0.0000  1 Ga 3.16, 4 Sn 3.24
Ce2 0.0000 0.5000 0.4863  5 Sn 3.22-3.24, 2 Ga 3.40
Ce3 0.5000 0.0000 0.7149  7 Sn 3.22-3.51
Ce4 0.5000 0.5000 0.2184  3 Sn 3.21-3.38, 4 Ga 3.23
Ga1 0.0000 0.0000 0.2716  2 Sn 2.85, 1 Ce 3.16
Sn1 0.0000 0.5000 0.7636  2 Sn 3.00, 5 Ce 3.22
Sn2 0.5000 0.0000 0.4303  2 Ga 2.85
Sn3 0.5000 0.5000 0.9418  2 Sn 3.00, 5 Ce 3.21-3.24

Computed properties:
**Formation energy**: -53 kJ per mole of atoms
**Symmetry**: Pmm2 (25)

---

2.
Computed, not measured: a relaxed Ce8Ga2Sn crystal at the PBE level of DFT.

a = 8.0140 Å, b = 8.0140 Å, c = 5.5738 Å
α = 99.56°, β = 99.56°, γ = 116.93°
Last column: nearest neighbours and their distance in Å.
Element x y z (fractional)
Ce1 0.0732 0.2833 0.5782  2 Ce 2.83-2.87, 2 Ga 3.08-3.16
Ce2 0.2385 0.7615 0.0000  2 Ga 2.96, 1 Sn 3.26
Ce3 0.2833 0.0732 0.5782  2 Ce 2.83-2.87, 2 Ga 3.08-3.16
Ce4 0.4106 0.4106 0.1683  1 Ce 2.75
Ce5 0.5894 0.5894 0.8317  1 Ce 2.75
Ce6 0.7167 0.9268 0.4218  2 Ce 2.83-2.87, 2 Ga 3.08-3.16
Ce7 0.7615 0.2385 0.0000  2 Ga 2.96, 1 Sn 3.26
Ce8 0.9268 0.7167 0.4218  2 Ce 2.83-2.87, 2 Ga 3.08-3.16
Ga1 0.3116 0.6884 0.5000  8 Ce 2.96-3.16
Ga2 0.6884 0.3116 0.5000  8 Ce 2.96-3.16
Sn1 0.0000 0.0000 0.0000  12 Ce 3.26-3.47

Computed properties:
**Formation energy**: -23 kJ per mole of atoms
**Symmetry**: C2/m (12)

---

3.
Computed, not measured: a relaxed CeGaSn2 crystal at the PBE level of DFT.

a = 4.5570 Å, b = 4.5570 Å, c = 4.6943 Å
α = 90.00°, β = 90.00°, γ = 90.00°
Last column: nearest neighbours and their distance in Å.
Element x y z (fractional)
Ce1 0.0000 0.0000 0.0000  4 Ga 3.22, 8 Sn 3.27
Ga1 0.5000 0.5000 0.0000  4 Ce 3.22, 8 Sn 3.27
Sn1 0.0000 0.5000 0.5000  4 Sn 3.22, 4 Ce 3.27, 4 Ga 3.27
Sn2 0.5000 0.0000 0.5000  4 Sn 3.22, 4 Ce 3.27, 4 Ga 3.27

Computed properties:
**Energy above the most stable polymorph in this dataset**: 0.000 eV/atom
**Formation energy**: -52 kJ per mole of atoms
**Symmetry**: P4/mmm (123)

---

4.
Computed, not measured: a relaxed CeGaSn crystal at the PBE level of DFT.

a = 4.4836 Å, b = 4.4836 Å, c = 4.4568 Å
α = 90.00°, β = 90.00°, γ = 120.00°
Last column: nearest neighbours and their distance in Å.
Element x y z (fractional)
Ce1 0.0000 0.0000 0.0000  3 Ga 3.04, 3 Sn 3.26
Ga1 0.3333 0.6667 0.6417  3 Sn 2.73, 3 Ce 3.04
Sn1 0.6667 0.3333 0.4449  3 Ga 2.73

Computed properties:
**Energy above the most stable polymorph in this dataset**: 0.000 eV/atom
**Formation energy**: -52 kJ per mole of atoms
**Symmetry**: P3m1 (156)